The following is a DFT calculation (GGA-PBE) of crystalline Pu2PaTe5 at its relaxed geometry.

a b c (Å): 8.6698 13.2024 4.4228
angles (deg): 90.00 90.00 90.00
Space group Pbam (No. 55)
Asymmetric unit:
Pu 0.0444 0.1746 0.0000 x4
Pa 0.0000 0.5000 0.5000 x2
Te 0.0000 0.0000 0.5000 x2
Te 0.1682 0.7020 0.5000 x4
Te 0.1848 0.4054 0.0000 x4

Calculated values
- DFT total energy (eV/atom) = -7.622
- density of states at the Fermi level (states/eV/f.u.) = 25.47